Entry 1:
A relaxed structure of ScP2W. Source: Alexandria via LeMat-Bulk, functional PBE-GGA.

Computed properties:
For the formation energy, the calculation gives -624 meV/atom. For the energy above the most stable polymorph in this dataset, the calculation gives 0.53 eV per formula unit.

Structure (extended XYZ):
```
4
Lattice="-3.2769 -1.5029 0.2941 -1.0280 -1.5378 3.1083 -3.6170 4.1349 2.9418" Properties=species:S:1:pos:R:3 pbc="T T T"
P -3.9270 0.4743 3.1441
P -4.3388 -2.9679 3.4304
W -1.9805 0.2736 1.5860
Sc -5.9414 0.8207 4.7581
```

=====

Entry 2:
A relaxed structure of Sc2PW. Source: Alexandria via LeMat-Bulk, functional PBE-GGA.

Computed properties:
For the formation energy, the calculation gives -223 meV/atom.

Structure (extended XYZ):
```
4
Lattice="8.2933 -1.6677 0.0117 8.2933 1.6677 0.0117 7.9539 0.0000 2.8802" Properties=species:S:1:pos:R:3 pbc="T T T"
W 12.7304 0.0000 1.5063
P 5.9626 0.0000 0.7055
Sc 18.6504 0.0000 2.2067
Sc 24.0080 0.0000 2.8406
```

=====

Entry 3:
A relaxed structure of ScPW2. Source: Alexandria via LeMat-Bulk, functional PBE-GGA.

Computed properties:
For the formation energy, the calculation gives 92 meV/atom.

Structure (extended XYZ):
```
4
Lattice="-2.0743 2.0743 3.6947 2.0743 -2.0743 3.6947 2.0743 2.0743 -3.6947" Properties=species:S:1:pos:R:3 pbc="T T T"
P 0.0000 0.0000 3.6947
W 2.0743 0.0000 1.8474
W 0.0000 0.0000 0.0000
Sc 0.0000 2.0743 1.8474
```

=====

Entry 4:
A relaxed structure of ScP2W. Source: Alexandria via LeMat-Bulk, functional PBE-GGA.

Computed properties:
For the formation energy, the calculation gives -509 meV/atom. For the energy above the most stable polymorph in this dataset, the calculation gives 0.99 eV per formula unit.

Structure (extended XYZ):
```
4
Lattice="3.5064 0.0000 0.0000 0.0000 3.5064 0.0000 0.0000 0.0000 5.2887" Properties=species:S:1:pos:R:3 pbc="T T T"
P 0.0000 0.0000 4.9035
P 1.7532 1.7532 1.7420
Sc 0.0000 0.0000 2.2899
W 1.7532 1.7532 4.2864
```

=====

Entry 5:
A relaxed structure of Sc3PW. Source: Alexandria via LeMat-Bulk, functional PBE-GGA.

Computed properties:
For the formation energy, the calculation gives 669 meV/atom. For the energy above the most stable polymorph in this dataset, the calculation gives 2.27 eV per formula unit.

Structure (extended XYZ):
```
5
Lattice="4.9945 0.0000 0.0000 0.0000 4.9945 0.0000 0.0000 0.0000 4.9945" Properties=species:S:1:pos:R:3 pbc="T T T"
Sc 0.0000 0.0000 2.4973
Sc 0.0000 2.4973 0.0000
Sc 2.4973 0.0000 0.0000
W 0.0000 0.0000 0.0000
P 2.4973 2.4973 2.4973
```

=====

Entry 6:
A relaxed structure of Sc2PW. Source: Alexandria via LeMat-Bulk, functional PBE-GGA.

Computed properties:
For the formation energy, the calculation gives -385 meV/atom.

Structure (extended XYZ):
```
4
Lattice="-1.7950 -2.3887 -1.6772 2.7630 -0.7561 -1.8802 1.6178 -4.0202 3.9942" Properties=species:S:1:pos:R:3 pbc="T T T"
P 1.2929 -3.5825 0.2184
W 0.4840 -1.5724 -1.7787
Sc 1.1929 -2.9644 2.9452
Sc 0.4249 -1.0558 1.0490
```

=====

Entry 7:
A relaxed structure of Sc2PW. Source: Alexandria via LeMat-Bulk, functional PBE-GGA.

Computed properties:
For the formation energy, the calculation gives 87 meV/atom.

Structure (extended XYZ):
```
4
Lattice="0.0000 3.2111 3.2111 3.2111 0.0000 3.2111 3.2111 3.2111 0.0000" Properties=species:S:1:pos:R:3 pbc="T T T"
W 1.6055 1.6055 1.6055
Sc 4.8166 4.8166 4.8166
Sc 0.0000 0.0000 0.0000
P 3.2111 3.2111 3.2111
```

=====

Entry 8:
A relaxed structure of Sc2PW. Source: Alexandria via LeMat-Bulk, functional PBE-GGA.

Computed properties:
For the formation energy, the calculation gives -279 meV/atom.

Structure (extended XYZ):
```
4
Lattice="1.5706 5.0337 0.0024 -1.5706 5.0337 0.0024 0.0000 1.4281 4.6119" Properties=species:S:1:pos:R:3 pbc="T T T"
P 0.0000 2.5435 1.0505
Sc 0.0000 8.7534 3.3314
Sc 0.0000 9.8447 0.2567
W 0.0000 6.1692 2.2910
```